(i)
Computed, not measured: a relaxed HfPaSb crystal at the PBE level of DFT.

Structure (POSCAR):
```
HfPaSb
1.0
-1.828 1.828 5.546
1.828 -1.828 5.546
1.828 1.828 -5.546
Hf Pa Sb
1 1 1
Direct
0.000 0.000 0.000
0.314 0.314 0.000
0.628 0.628 0.000
```

Results
calculated density	11.90	g/cm³



(ii)
Computed, not measured: a relaxed HfPaSb crystal at the PBE level of DFT.

Structure (POSCAR):
```
HfPaSb
1.0
5.067 0.000 0.000
-2.533 4.388 0.000
0.000 0.000 3.322
Hf Pa Sb
1 1 1
Direct
0.000 0.000 0.000
0.667 0.333 0.500
0.333 0.667 0.000
```

Results
calculated density	11.95	g/cm³



(i) is favored, and the nearest alternative lies 10.8 kJ/mol of atoms above it.



(i)
Computed, not measured: a relaxed Hf2ScPa crystal at the PBE level of DFT.

Structure (POSCAR):
```
Hf2ScPa
1.0
1.602 0.925 10.619
-1.602 0.925 10.619
0.000 -1.850 10.619
Hf Sc Pa
2 1 1
Direct
0.250 0.250 0.250
0.750 0.750 0.750
0.000 0.000 0.000
0.500 0.500 0.500
```

Results
calculated density	11.13	g/cm³



(ii)
Computed, not measured: a relaxed Hf2ScPa crystal at the PBE level of DFT.

Structure (POSCAR):
```
Hf2ScPa
1.0
3.194 0.000 0.000
-1.597 2.766 0.000
0.000 0.000 10.842
Hf Sc Pa
2 1 1
Direct
0.000 0.000 0.000
0.333 0.667 0.507
0.000 0.000 0.276
0.667 0.333 0.758
```

Results
calculated density	10.97	g/cm³



(i) is favored, and the nearest alternative lies 5.8 kJ/mol of atoms above it.



(i)
Computed, not measured: a relaxed Hf2ScPa crystal at the PBE level of DFT.

Structure (POSCAR):
```
Hf2ScPa
1.0
1.594 0.920 10.657
-1.594 0.920 10.657
0.000 -1.841 10.657
Hf Sc Pa
2 1 1
Direct
0.000 0.000 0.000
0.168 0.168 0.168
0.584 0.584 0.584
0.750 0.750 0.750
```

Results
calculated density	11.20	g/cm³



(ii)
Computed, not measured: a relaxed Hf2ScPa crystal at the PBE level of DFT.

Structure (POSCAR):
```
Hf2ScPa
1.0
4.582 0.000 0.000
0.000 4.582 0.000
0.000 0.000 4.452
Hf Sc Pa
2 1 1
Direct
0.000 0.500 0.000
0.500 0.000 0.000
0.000 0.000 0.500
0.500 0.500 0.500
```

Results
calculated density	11.25	g/cm³



(i) is favored, and the nearest alternative lies 6.9 kJ/mol of atoms above it.



(i)
Computed, not measured: a relaxed Hf2ScPa crystal at the PBE level of DFT.

Structure (POSCAR):
```
Hf2ScPa
1.0
0.000 3.592 3.592
3.592 0.000 3.592
3.592 3.592 0.000
Hf Sc Pa
2 1 1
Direct
0.250 0.250 0.250
0.750 0.750 0.750
0.000 0.000 0.000
0.500 0.500 0.500
```

Results
calculated density	11.34	g/cm³



(ii)
Computed, not measured: a relaxed Hf2ScPa crystal at the PBE level of DFT.

Structure (POSCAR):
```
Hf2ScPa
1.0
3.774 0.000 0.000
0.000 3.774 0.000
0.000 0.000 6.644
Hf Sc Pa
2 1 1
Direct
0.000 0.000 0.227
0.000 0.000 0.773
0.500 0.500 0.500
0.500 0.500 0.000
```

Results
calculated density	11.11	g/cm³



(ii) is favored, and the nearest alternative lies 3.5 kJ/mol of atoms above it.



(i)
Computed, not measured: a relaxed HfPaSe crystal at the PBE level of DFT.

Structure (POSCAR):
```
HfPaSe
1.0
7.026 0.000 0.000
0.000 5.623 0.000
-1.754 0.000 7.222
Hf Pa Se
4 4 4
Direct
0.227 0.250 0.410
0.272 0.750 0.590
0.728 0.250 0.410
0.773 0.750 0.590
0.075 0.250 0.797
0.426 0.750 0.203
0.574 0.250 0.797
0.925 0.750 0.203
0.094 0.750 0.873
0.407 0.250 0.128
0.593 0.750 0.872
0.906 0.250 0.127
```

Results
calculated density	11.37	g/cm³



(ii)
Computed, not measured: a relaxed HfPaSe crystal at the PBE level of DFT.

Structure (POSCAR):
```
HfPaSe
1.0
3.431 0.000 0.000
-1.715 2.971 0.000
0.000 0.000 6.793
Hf Pa Se
1 1 1
Direct
0.000 0.000 0.000
0.667 0.333 0.390
0.333 0.667 0.727
```

Results
calculated density	11.72	g/cm³



(i) is favored, and the nearest alternative lies 2.9 kJ/mol of atoms above it.



(i)
Computed, not measured: a relaxed HfPaSi2 crystal at the PBE level of DFT.

Structure (POSCAR):
```
HfPaSi2
1.0
3.905 0.000 0.000
0.000 1.981 5.071
0.000 -1.981 5.071
Hf Pa Si
1 1 2
Direct
0.000 0.000 0.000
0.500 0.285 0.285
0.000 0.723 0.723
0.500 0.567 0.567
```

Results
calculated density	9.86	g/cm³



(ii)
Computed, not measured: a relaxed HfPaSi2 crystal at the PBE level of DFT.

Structure (POSCAR):
```
HfPaSi2
1.0
1.982 1.144 6.332
-1.982 1.144 6.332
0.000 -2.288 6.332
Hf Pa Si
1 1 2
Direct
0.000 0.000 0.000
0.500 0.500 0.500
0.256 0.256 0.256
0.744 0.744 0.744
```

Results
calculated density	8.98	g/cm³



(i) is favored, and the nearest alternative lies 6.0 kJ/mol of atoms above it.